[1]
# NdSbTe (PBE-GGA, relaxed)
data_NdSbTe
_cell_length_a 10.0695
_cell_length_b 10.0695
_cell_length_c 10.0695
_cell_angle_alpha 155.00
_cell_angle_beta 155.00
_cell_angle_gamma 35.65
_symmetry_space_group_name_H-M 'P 1'
_symmetry_Int_Tables_number 1
_symmetry_space_group_name_Hall 'P 1'
loop_
_atom_site_label
_atom_site_type_symbol
_atom_site_fract_x
_atom_site_fract_y
_atom_site_fract_z
Nd1 Nd 0.1380 0.1380 0.0000
Nd2 Nd 0.8620 0.8620 0.0000
Sb1 Sb 0.0000 0.5000 0.5000
Sb2 Sb 0.5000 0.0000 0.5000
Te1 Te 0.3115 0.3115 0.0000
Te2 Te 0.6885 0.6885 0.0000
# Formation energy (no corrections), eV/atom: -1.14
# Density, g/cm³: 7.18
# Space-group type: I4/mmm (139)


[2]
# Nd6SbTe5 (PBE-GGA, relaxed)
data_Nd6SbTe5
_cell_length_a 7.7922
_cell_length_b 7.7922
_cell_length_c 7.8232
_cell_angle_alpha 99.54
_cell_angle_beta 99.54
_cell_angle_gamma 120.01
_symmetry_space_group_name_H-M 'P 1'
_symmetry_Int_Tables_number 1
_symmetry_space_group_name_Hall 'P 1'
loop_
_atom_site_label
_atom_site_type_symbol
_atom_site_fract_x
_atom_site_fract_y
_atom_site_fract_z
Nd1 Nd 0.0817 0.4081 0.7450
Nd2 Nd 0.2444 0.2444 0.2539
Nd3 Nd 0.4081 0.0817 0.7450
Nd4 Nd 0.5919 0.9183 0.2550
Nd5 Nd 0.7556 0.7556 0.7461
Nd6 Nd 0.9183 0.5919 0.2550
Sb1 Sb 0.0000 0.0000 0.5000
Te1 Te 0.1687 0.8313 0.0000
Te2 Te 0.3335 0.6665 0.5000
Te3 Te 0.5000 0.5000 0.0000
Te4 Te 0.6665 0.3335 0.5000
Te5 Te 0.8313 0.1687 0.0000
# Formation energy (no corrections), eV/atom: -1.41
# Density, g/cm³: 6.95
# Space-group type: C2/m (12)


[3]
# Nd5Sb2Te2 (PBE-GGA, relaxed)
data_Nd5Sb2Te2
_cell_length_a 9.0011
_cell_length_b 9.0011
_cell_length_c 8.3477
_cell_angle_alpha 90.00
_cell_angle_beta 90.00
_cell_angle_gamma 55.19
_symmetry_space_group_name_H-M 'P 1'
_symmetry_Int_Tables_number 1
_symmetry_space_group_name_Hall 'P 1'
loop_
_atom_site_label
_atom_site_type_symbol
_atom_site_fract_x
_atom_site_fract_y
_atom_site_fract_z
Nd1 Nd 0.0000 0.0000 0.0000
Nd2 Nd 0.0253 0.7054 0.6587
Nd3 Nd 0.2054 0.5253 0.1587
Nd4 Nd 0.2946 0.9747 0.6587
Nd5 Nd 0.4747 0.7946 0.1587
Nd6 Nd 0.5000 0.5000 0.5000
Nd7 Nd 0.5253 0.2054 0.8413
Nd8 Nd 0.7054 0.0253 0.3413
Nd9 Nd 0.7946 0.4747 0.8413
Nd10 Nd 0.9747 0.2946 0.3413
Sb1 Sb 0.1417 0.8583 0.3589
Sb2 Sb 0.3583 0.6417 0.8589
Sb3 Sb 0.6417 0.3583 0.1411
Sb4 Sb 0.8583 0.1417 0.6411
Te1 Te 0.1992 0.1992 0.0000
Te2 Te 0.3008 0.3008 0.5000
Te3 Te 0.6992 0.6992 0.5000
Te4 Te 0.8008 0.8008 0.0000
# Formation energy (no corrections), eV/atom: -1.18
# Density, g/cm³: 7.30
# Space-group type: Cmce (64)
# Polymorph energy (0 for the lowest one), meV/atom: 0